Version 1
Material: Pa2OsPb
Method: DFT, PBE
State: relaxed

Results
Total moment   0.0001 μB per atom

Cell: 3.230 3.230 8.905 Å, 90.00 90.00 90.00°
Fractional coordinates of all 4 atoms:
Pa1 0.000 0.000 0.212
Pa2 0.000 0.000 0.788
Os1 0.500 0.500 0.000
Pb1 0.500 0.500 0.500



Version 2
Material: Pa2OsPb
Method: DFT, PBE
State: relaxed

Results
Total moment   0.0000 μB per atom

Cell: 3.974 3.974 23.686 Å, 90.00 90.00 120.00°
Fractional coordinates of all 12 atoms:
Pa1 0.000 0.000 0.232
Pa2 0.000 0.000 0.768
Pa3 0.333 0.667 0.435
Pa4 0.333 0.667 0.899
Pa5 0.667 0.333 0.101
Pa6 0.667 0.333 0.565
Os1 0.000 0.000 0.500
Os2 0.333 0.667 0.167
Os3 0.667 0.333 0.833
Pb1 0.000 0.000 0.000
Pb2 0.333 0.667 0.667
Pb3 0.667 0.333 0.333



version 1 (96 meV/atom below the next structure)



Version 1
Material: Pa2OsPd
Method: DFT, PBE
State: relaxed

Results
Total moment   0.0005 μB per atom

Cell: 3.381 3.381 7.345 Å, 90.00 90.00 90.00°
Fractional coordinates of all 4 atoms:
Pa1 0.000 0.000 0.235
Pa2 0.000 0.000 0.765
Os1 0.500 0.500 0.000
Pd1 0.500 0.500 0.500



Version 2
Material: Pa2OsPd
Method: DFT, PBE
State: relaxed

Results
Total moment   0.0009 μB per atom

Cell: 6.939 6.939 6.939 Å, 90.00 90.00 90.00°
Fractional coordinates of all 16 atoms:
Pa1 0.250 0.250 0.250
Pa2 0.250 0.250 0.750
Pa3 0.250 0.750 0.250
Pa4 0.250 0.750 0.750
Pa5 0.750 0.250 0.250
Pa6 0.750 0.250 0.750
Pa7 0.750 0.750 0.250
Pa8 0.750 0.750 0.750
Os1 0.000 0.000 0.000
Os2 0.000 0.500 0.500
Os3 0.500 0.000 0.500
Os4 0.500 0.500 0.000
Pd1 0.000 0.000 0.500
Pd2 0.000 0.500 0.000
Pd3 0.500 0.000 0.000
Pd4 0.500 0.500 0.500



Version 3
Material: Pa2OsPd
Method: DFT, PBE
State: relaxed

Results
Total moment   0.0000 μB per atom

Cell: 4.429 4.429 4.114 Å, 90.00 90.00 90.00°
Fractional coordinates of all 4 atoms:
Pa1 0.000 0.500 0.000
Pa2 0.500 0.000 0.000
Os1 0.000 0.000 0.500
Pd1 0.500 0.500 0.500



version 1 (6 meV/atom below the next structure)



Version 1
Material: Pa2OsPd
Method: DFT, PBE
State: relaxed

Results
Total moment   0.0000 μB per atom

Cell: 5.739 7.592 4.237 Å, 90.00 90.00 90.00°
Fractional coordinates of all 8 atoms:
Pa1 0.233 0.167 0.000
Pa2 0.267 0.667 0.500
Pa3 0.733 0.333 0.500
Pa4 0.767 0.833 0.000
Os1 0.000 0.000 0.500
Os2 0.500 0.500 0.000
Pd1 0.000 0.500 0.000
Pd2 0.500 0.000 0.500



Version 2
Material: Pa2OsPd
Method: DFT, PBE
State: relaxed

Results
Total moment   0.0000 μB per atom

Cell: 3.067 3.067 30.286 Å, 90.00 90.00 120.00°
Fractional coordinates of all 12 atoms:
Pa1 0.000 0.000 0.089
Pa2 0.000 0.000 0.911
Pa3 0.333 0.667 0.577
Pa4 0.333 0.667 0.756
Pa5 0.667 0.333 0.244
Pa6 0.667 0.333 0.423
Os1 0.000 0.000 0.500
Os2 0.333 0.667 0.167
Os3 0.667 0.333 0.833
Pd1 0.000 0.000 0.000
Pd2 0.333 0.667 0.667
Pd3 0.667 0.333 0.333



version 1 (404 meV/atom below the next structure)



Version 1
Material: PmPaOs2
Method: DFT, PBE
State: relaxed

Results
Total moment   0.0000 μB per atom

Cell: 3.504 3.504 6.932 Å, 90.00 90.00 90.00°
Fractional coordinates of all 4 atoms:
Pm1 0.000 0.000 0.000
Pa1 0.000 0.000 0.500
Os1 0.500 0.500 0.283
Os2 0.500 0.500 0.717



Version 2
Material: PmPaOs2
Method: DFT, PBE
State: relaxed

Results
Total moment   0.0008 μB per atom

Cell: 3.756 3.756 22.483 Å, 90.00 90.00 120.00°
Fractional coordinates of all 12 atoms:
Pm1 0.000 0.000 0.000
Pm2 0.333 0.667 0.667
Pm3 0.667 0.333 0.333
Pa1 0.000 0.000 0.500
Pa2 0.333 0.667 0.167
Pa3 0.667 0.333 0.833
Os1 0.000 0.000 0.243
Os2 0.000 0.000 0.757
Os3 0.333 0.667 0.424
Os4 0.333 0.667 0.909
Os5 0.667 0.333 0.091
Os6 0.667 0.333 0.576



Version 3
Material: PmPaOs2
Method: DFT, PBE
State: relaxed

Results
Total moment   0.0000 μB per atom

Cell: 6.944 6.944 6.944 Å, 90.00 90.00 90.00°
Fractional coordinates of all 16 atoms:
Pm1 0.000 0.000 0.000
Pm2 0.000 0.500 0.500
Pm3 0.500 0.000 0.500
Pm4 0.500 0.500 0.000
Pa1 0.000 0.000 0.500
Pa2 0.000 0.500 0.000
Pa3 0.500 0.000 0.000
Pa4 0.500 0.500 0.500
Os1 0.250 0.250 0.250
Os2 0.250 0.250 0.750
Os3 0.250 0.750 0.250
Os4 0.250 0.750 0.750
Os5 0.750 0.250 0.250
Os6 0.750 0.250 0.750
Os7 0.750 0.750 0.250
Os8 0.750 0.750 0.750



version 1 (119 meV/atom below the next structure)



Version 1
Material: PaOs2Pt
Method: DFT, PBE
State: relaxed

Results
Total moment   0.0000 μB per atom

Cell: 4.663 4.663 12.969 Å, 90.00 90.00 120.00°
Fractional coordinates of all 12 atoms:
Pa1 0.000 0.000 0.000
Pa2 0.333 0.667 0.667
Pa3 0.667 0.333 0.333
Os1 0.000 0.000 0.187
Os2 0.000 0.000 0.813
Os3 0.333 0.667 0.479
Os4 0.333 0.667 0.854
Os5 0.667 0.333 0.146
Os6 0.667 0.333 0.521
Pt1 0.000 0.000 0.500
Pt2 0.333 0.667 0.167
Pt3 0.667 0.333 0.833



Version 2
Material: PaOs2Pt
Method: DFT, PBE
State: relaxed

Results
Total moment   0.0000 μB per atom

Cell: 4.140 4.140 4.004 Å, 90.00 90.00 90.00°
Fractional coordinates of all 4 atoms:
Pa1 0.000 0.000 0.000
Os1 0.000 0.500 0.500
Os2 0.500 0.000 0.500
Pt1 0.500 0.500 0.000



version 2 (337 meV/atom below the next structure)



Version 1
Material: PuPaOs2
Method: DFT, PBE
State: relaxed

Results
Total moment   1.2198 μB per atom

Cell: 4.626 4.626 3.705 Å, 90.00 90.00 90.00°
Fractional coordinates of all 4 atoms:
Pu1 0.000 0.000 0.000
Pa1 0.500 0.500 0.000
Os1 0.000 0.500 0.500
Os2 0.500 0.000 0.500



Version 2
Material: PuPaOs2
Method: DFT, PBE
State: relaxed

Results
Total moment   1.0868 μB per atom

Cell: 8.260 5.480 7.364 Å, 90.00 90.06 90.00°
Fractional coordinates of all 16 atoms:
Pu1 0.120 0.161 0.333
Pu2 0.120 0.339 0.833
Pu3 0.880 0.661 0.167
Pu4 0.880 0.839 0.667
Pa1 0.374 0.666 0.169
Pa2 0.374 0.834 0.669
Pa3 0.626 0.166 0.331
Pa4 0.626 0.334 0.831
Os1 0.126 0.663 0.437
Os2 0.126 0.837 0.937
Os3 0.377 0.168 0.070
Os4 0.377 0.332 0.570
Os5 0.623 0.668 0.430
Os6 0.623 0.832 0.930
Os7 0.874 0.163 0.063
Os8 0.874 0.337 0.563



version 2 (49 meV/atom below the next structure)



Version 1
Material: PaReOs2
Method: DFT, PBE
State: relaxed

Results
Total moment   0.0000 μB per atom

Cell: 4.223 4.223 14.993 Å, 90.00 90.00 120.00°
Fractional coordinates of all 12 atoms:
Pa1 0.000 0.000 0.000
Pa2 0.333 0.667 0.667
Pa3 0.667 0.333 0.333
Re1 0.000 0.000 0.500
Re2 0.333 0.667 0.167
Re3 0.667 0.333 0.833
Os1 0.000 0.000 0.218
Os2 0.000 0.000 0.782
Os3 0.333 0.667 0.449
Os4 0.333 0.667 0.885
Os5 0.667 0.333 0.115
Os6 0.667 0.333 0.551



Version 2
Material: PaReOs2
Method: DFT, PBE
State: relaxed

Results
Total moment   0.0000 μB per atom

Cell: 4.108 4.108 4.059 Å, 90.00 90.00 90.00°
Fractional coordinates of all 4 atoms:
Pa1 0.000 0.000 0.000
Re1 0.500 0.500 0.000
Os1 0.000 0.500 0.500
Os2 0.500 0.000 0.500



version 2 (188 meV/atom below the next structure)



Version 1
Material: Pa2ReOs
Method: DFT, PBE
State: relaxed

Results
Total moment   0.0002 μB per atom

Cell: 6.903 6.903 6.903 Å, 90.00 90.00 90.00°
Fractional coordinates of all 16 atoms:
Pa1 0.250 0.250 0.250
Pa2 0.250 0.250 0.750
Pa3 0.250 0.750 0.250
Pa4 0.250 0.750 0.750
Pa5 0.750 0.250 0.250
Pa6 0.750 0.250 0.750
Pa7 0.750 0.750 0.250
Pa8 0.750 0.750 0.750
Re1 0.000 0.000 0.000
Re2 0.000 0.500 0.500
Re3 0.500 0.000 0.500
Re4 0.500 0.500 0.000
Os1 0.000 0.000 0.500
Os2 0.000 0.500 0.000
Os3 0.500 0.000 0.000
Os4 0.500 0.500 0.500



Version 2
Material: Pa2ReOs
Method: DFT, PBE
State: relaxed

Results
Total moment   0.0000 μB per atom

Cell: 3.047 3.047 29.715 Å, 90.00 90.00 120.00°
Fractional coordinates of all 12 atoms:
Pa1 0.000 0.000 0.087
Pa2 0.000 0.000 0.913
Pa3 0.333 0.667 0.580
Pa4 0.333 0.667 0.754
Pa5 0.667 0.333 0.246
Pa6 0.667 0.333 0.420
Re1 0.000 0.000 0.000
Re2 0.333 0.667 0.667
Re3 0.667 0.333 0.333
Os1 0.000 0.000 0.500
Os2 0.333 0.667 0.167
Os3 0.667 0.333 0.833



Version 3
Material: Pa2ReOs
Method: DFT, PBE
State: relaxed

Results
Total moment   0.0000 μB per atom

Cell: 3.512 3.512 6.648 Å, 90.00 90.00 90.00°
Fractional coordinates of all 4 atoms:
Pa1 0.000 0.000 0.244
Pa2 0.000 0.000 0.756
Re1 0.500 0.500 0.500
Os1 0.500 0.500 0.000



version 3 (14 meV/atom below the next structure)



Version 1
Material: PaOsRh
Method: DFT, PBE
State: relaxed

Results
Total moment   0.0000 μB per atom

Cell: 4.673 4.673 5.747 Å, 90.00 90.00 120.00°
Fractional coordinates of all 6 atoms:
Pa1 0.333 0.667 0.250
Pa2 0.667 0.333 0.750
Os1 0.000 0.000 0.000
Os2 0.000 0.000 0.500
Rh1 0.333 0.667 0.750
Rh2 0.667 0.333 0.250



Version 2
Material: PaOsRh
Method: DFT, PBE
State: relaxed

Results
Total moment   0.0000 μB per atom

Cell: 3.904 3.904 7.817 Å, 90.00 90.00 90.00°
Fractional coordinates of all 6 atoms:
Pa1 0.250 0.250 0.148
Pa2 0.750 0.750 0.852
Os1 0.250 0.250 0.799
Os2 0.750 0.750 0.201
Rh1 0.250 0.250 0.465
Rh2 0.750 0.750 0.535



Version 3
Material: PaOsRh
Method: DFT, PBE
State: relaxed

Results
Total moment   0.0000 μB per atom

Cell: 4.328 4.328 3.656 Å, 90.00 90.00 120.00°
Fractional coordinates of all 3 atoms:
Pa1 0.000 0.000 0.000
Os1 0.667 0.333 0.500
Rh1 0.333 0.667 0.500



version 1 (287 meV/atom below the next structure)



Version 1
Material: Pa2OsRh
Method: DFT, PBE
State: relaxed

Results
Total moment   0.0000 μB per atom

Cell: 3.073 3.073 29.534 Å, 90.00 90.00 120.00°
Fractional coordinates of all 12 atoms:
Pa1 0.000 0.000 0.087
Pa2 0.000 0.000 0.913
Pa3 0.333 0.667 0.579
Pa4 0.333 0.667 0.754
Pa5 0.667 0.333 0.246
Pa6 0.667 0.333 0.421
Os1 0.000 0.000 0.000
Os2 0.333 0.667 0.667
Os3 0.667 0.333 0.333
Rh1 0.000 0.000 0.500
Rh2 0.333 0.667 0.167
Rh3 0.667 0.333 0.833



Version 2
Material: Pa2OsRh
Method: DFT, PBE
State: relaxed

Results
Total moment   0.0000 μB per atom

Cell: 4.988 4.988 3.267 Å, 90.00 90.00 90.00°
Fractional coordinates of all 4 atoms:
Pa1 0.000 0.500 0.000
Pa2 0.500 0.000 0.000
Os1 0.000 0.000 0.500
Rh1 0.500 0.500 0.500



Version 3
Material: Pa2OsRh
Method: DFT, PBE
State: relaxed

Results
Total moment   0.0000 μB per atom

Cell: 5.518 5.537 5.980 Å, 104.11 103.95 92.16°
Fractional coordinates of all 8 atoms:
Pa1 0.055 0.309 0.221
Pa2 0.435 0.189 0.769
Pa3 0.565 0.811 0.231
Pa4 0.945 0.691 0.779
Os1 0.083 0.831 0.299
Os2 0.917 0.169 0.701
Rh1 0.423 0.671 0.702
Rh2 0.577 0.329 0.298



Version 4
Material: Pa2OsRh
Method: DFT, PBE
State: relaxed

Results
Total moment   0.0002 μB per atom

Cell: 6.885 6.885 6.885 Å, 90.00 90.00 90.00°
Fractional coordinates of all 16 atoms:
Pa1 0.250 0.250 0.250
Pa2 0.250 0.250 0.750
Pa3 0.250 0.750 0.250
Pa4 0.250 0.750 0.750
Pa5 0.750 0.250 0.250
Pa6 0.750 0.250 0.750
Pa7 0.750 0.750 0.250
Pa8 0.750 0.750 0.750
Os1 0.000 0.000 0.000
Os2 0.000 0.500 0.500
Os3 0.500 0.000 0.500
Os4 0.500 0.500 0.000
Rh1 0.000 0.000 0.500
Rh2 0.000 0.500 0.000
Rh3 0.500 0.000 0.000
Rh4 0.500 0.500 0.500



version 3 (229 meV/atom below the next structure)



Version 1
Material: PaOsRu
Method: DFT, PBE
State: relaxed

Results
Total moment   0.0000 μB per atom

Cell: 4.626 4.626 5.768 Å, 90.00 90.00 120.00°
Fractional coordinates of all 6 atoms:
Pa1 0.333 0.667 0.250
Pa2 0.667 0.333 0.750
Os1 0.000 0.000 0.000
Os2 0.000 0.000 0.500
Ru1 0.333 0.667 0.750
Ru2 0.667 0.333 0.250



Version 2
Material: PaOsRu
Method: DFT, PBE
State: relaxed

Results
Total moment   0.0000 μB per atom

Cell: 5.370 2.953 6.809 Å, 90.00 90.00 90.00°
Fractional coordinates of all 6 atoms:
Pa1 0.250 0.000 0.140
Pa2 0.750 0.000 0.860
Os1 0.000 0.000 0.500
Os2 0.500 0.000 0.500
Ru1 0.250 0.500 0.770
Ru2 0.750 0.500 0.230



version 1 (301 meV/atom below the next structure)